{
  "formula": "PuCd2CoO6",
  "functional": "PBE+U",
  "state": "relaxed",
  "lattice": [[2.756, 1.591, 4.667], [-2.756, 1.591, 4.667], [0.000, -3.182, 4.667]],
  "species": ["Pu", "Cd", "Cd", "Co", "O", "O", "O", "O", "O", "O"],
  "fractional_positions": [[0.000, 0.000, 0.000], [0.231, 0.231, 0.231], [0.737, 0.737, 0.737], [0.502, 0.502, 0.502], [0.166, 0.361, 0.747], [0.273, 0.837, 0.640], [0.361, 0.747, 0.166], [0.640, 0.273, 0.837], [0.747, 0.166, 0.361], [0.837, 0.640, 0.273]],
  "total_energy_ev_per_atom": -6.641
}